(1)
! PBE KReTc2, relaxed; values from VASP
&SYSTEM
  ibrav = 0, nat = 8, ntyp = 3
/
ATOMIC_SPECIES
K 39.10 K.upf
Re 186.21 Re.upf
Tc 98.00 Tc.upf
ATOMIC_POSITIONS angstrom
K 0.000 0.000 0.000
K 1.339 2.607 5.252
Re 0.000 2.607 8.281
Re 1.339 0.000 3.028
Tc 0.000 0.000 5.292
Tc 0.000 2.607 2.264
Tc 1.339 0.000 7.517
Tc 1.339 2.607 0.040
CELL_PARAMETERS angstrom
2.679 0.000 0.000
0.000 5.213 0.000
0.000 0.000 10.505
! Energy above the most stable polymorph in this dataset, eV per formula unit: 2.11
! Crystal system: orthorhombic
! E_form, meV per atom: 1238

***

(2)
! PBE Ti3Sn2N, relaxed; values from VASP
&SYSTEM
  ibrav = 0, nat = 12, ntyp = 3
/
ATOMIC_SPECIES
Ti 47.87 Ti.upf
Sn 118.71 Sn.upf
N 14.01 N.upf
ATOMIC_POSITIONS angstrom
Ti 0.000 0.000 0.000
Ti 0.000 5.559 1.512
Ti 0.000 8.187 1.512
Ti 2.536 1.314 1.512
Ti 2.536 6.873 0.000
Ti 2.536 12.432 1.512
Sn 0.000 2.553 1.512
Sn 0.000 11.193 1.512
Sn 2.536 4.320 1.512
Sn 2.536 9.426 1.512
N 0.000 6.873 0.000
N 2.536 0.000 0.000
CELL_PARAMETERS angstrom
5.071 0.000 0.000
0.000 13.746 0.000
0.000 0.000 3.024
! Energy, eV per atom: -7.28
! Crystal system: orthorhombic

***

(3)
! PBE CoNi, relaxed; values from VASP
&SYSTEM
  ibrav = 0, nat = 12, ntyp = 2
/
ATOMIC_SPECIES
Co 58.93 Co.upf
Ni 58.69 Ni.upf
ATOMIC_POSITIONS angstrom
Co 0.000 1.569 3.137
Co 0.000 4.706 3.137
Co 1.569 3.137 0.000
Co 3.137 0.000 1.569
Co 3.137 0.000 4.706
Co 4.706 3.137 0.000
Ni 0.000 3.137 1.569
Ni 0.000 3.137 4.706
Ni 1.569 0.000 3.137
Ni 3.137 1.569 0.000
Ni 3.137 4.706 0.000
Ni 4.706 0.000 3.137
CELL_PARAMETERS angstrom
6.275 0.000 0.000
0.000 6.275 0.000
0.000 0.000 6.275
! Crystal system: cubic
! E_form, meV per atom: 1362

***

Number 1: total magnetization 0.1 μB per formula unit. Number 2: total magnetization 0.0 μB per formula unit. Number 3: total magnetization 2.7 μB per formula unit.